VASP calculation (PBE-GGA) on a relaxed structure of DyMoP2.

## Properties
The crystal system is trigonal. As for the formation energy: -800.7 meV per atom.

POSCAR file:
```
DyMoP2
1.0
3.779 0.000 0.000
1.890 3.273 0.000
1.890 1.091 5.929
Mo P Dy
1 2 1
direct
0.000 0.000 0.000
0.738 0.738 0.787
0.262 0.262 0.213
0.500 0.500 0.500
```